The following is a PBE calculation of an optimized crystal structure of HfTa2Fe, from the Alexandria database.

a b c (Å): 7.3698 7.3698 5.3953
angles (deg): 90.00 90.00 90.00
Space group I-42d (No. 122)
One atom of each set of equivalent atoms:
1 Hf 0.0000 0.0000 0.0000
2 Ta 0.1947 0.2500 0.6250
3 Fe 0.0000 0.0000 0.5000

ΔE to the lowest computed polymorph, meV per atom: 388.8
Crystal system: tetragonal
Formation enthalpy at 0 K, kJ per mole of atoms: 35.2
Uncorrected energy, eV/atom: -10.165